Entry from Alexandria via LeMat-Bulk: GaSiH after structural relaxation (PBE-GGA).

Its symmetry is Cm (8). The total energy is -3.653 eV per atom.

Cell lengths 5.794, 2.587, 8.205 Å; angles 90.00, 129.45, 90.00 degrees
Fractional positions:
1 Ga 0.266 0.000 0.646
2 Ga 0.266 0.500 0.146
3 Si 0.548 0.000 0.506
4 Si 0.548 0.500 0.006
5 H 0.882 0.000 0.586
6 H 0.882 0.500 0.086


Entry from Alexandria via LeMat-Bulk: GaSiH after structural relaxation (PBE-GGA).

Its symmetry is P2 (3). The total energy is -3.695 eV per atom.

Cell lengths 2.680, 2.829, 6.070 Å; angles 90.00, 89.99, 59.10 degrees
Fractional positions:
1 Ga 0.157 0.612 0.023
2 Si 0.158 0.610 0.601
3 H 0.158 0.610 0.334


Entry from Alexandria via LeMat-Bulk: Ga2SiH2 after structural relaxation (PBE-GGA).

Its symmetry is I4/mmm (139). The total energy is -3.208 eV per atom.

Cell lengths 3.194, 3.194, 6.362 Å; angles 75.46, 75.46, 90.00 degrees
Fractional positions:
1 H 0.750 0.250 0.500
2 H 0.250 0.750 0.500
3 Si 0.000 0.000 0.000
4 Ga 0.356 0.356 0.288
5 Ga 0.644 0.644 0.712